No. 1
TaRe2As | PBEsol | optimized geometry

Geometry as CIF:
```
data_TaRe2As
_cell_length_a 2.9185
_cell_length_b 2.9185
_cell_length_c 25.2220
_cell_angle_alpha 90.00
_cell_angle_beta 90.00
_cell_angle_gamma 120.00
_space_group_name_H-M_alt 'P 1'
_space_group_IT_number 1
loop_
_space_group_symop_operation_xyz
'x,y,z'
loop_
_atom_site_label
_atom_site_fract_x
_atom_site_fract_y
_atom_site_fract_z
_atom_site_occupancy
Ta1 0.0000 0.0000 0.0000 1
Ta2 0.3333 0.6667 0.6667 1
Ta3 0.6667 0.3333 0.3333 1
Re1 0.0000 0.0000 0.2462 1
Re2 0.0000 0.0000 0.7538 1
Re3 0.3333 0.6667 0.4204 1
Re4 0.3333 0.6667 0.9129 1
Re5 0.6667 0.3333 0.0871 1
Re6 0.6667 0.3333 0.5796 1
As1 0.0000 0.0000 0.5000 1
As2 0.3333 0.6667 0.1667 1
As3 0.6667 0.3333 0.8333 1
```

## Properties
Formation energy from the elements: 241.7 meV/atom
Magnetic moment: 0.0 μB/f.u.
Final energy: -43.4 eV/f.u.

=====

No. 2
AlSb2Ir | PBEsol | optimized geometry

Geometry as CIF:
```
data_AlSb2Ir
_cell_length_a 4.5861
_cell_length_b 4.5861
_cell_length_c 3.6689
_cell_angle_alpha 90.00
_cell_angle_beta 90.00
_cell_angle_gamma 90.00
_space_group_name_H-M_alt 'P 1'
_space_group_IT_number 1
loop_
_space_group_symop_operation_xyz
'x,y,z'
loop_
_atom_site_label
_atom_site_fract_x
_atom_site_fract_y
_atom_site_fract_z
_atom_site_occupancy
Al1 0.0000 0.0000 0.0000 1
Sb1 0.0000 0.5000 0.5000 1
Sb2 0.5000 0.0000 0.5000 1
Ir1 0.5000 0.5000 0.0000 1
```

## Properties
Magnetic moment: 0.0 μB/f.u.
Final energy: -21.8 eV/f.u.
Energy relative to the elements, uncorrected: 1.26 eV/f.u.

=====

No. 3
K2BeHg | PBEsol | optimized geometry

Geometry as CIF:
```
data_K2BeHg
_cell_length_a 4.9961
_cell_length_b 5.0861
_cell_length_c 10.0184
_cell_angle_alpha 90.00
_cell_angle_beta 90.00
_cell_angle_gamma 90.00
_space_group_name_H-M_alt 'P 1'
_space_group_IT_number 1
loop_
_space_group_symop_operation_xyz
'x,y,z'
loop_
_atom_site_label
_atom_site_fract_x
_atom_site_fract_y
_atom_site_fract_z
_atom_site_occupancy
K1 0.0000 0.0000 0.0000 1
K2 0.0000 0.5000 0.4054 1
K3 0.5000 0.0000 0.4054 1
K4 0.5000 0.5000 0.0000 1
Be1 0.0000 0.5000 0.7195 1
Be2 0.5000 0.0000 0.7195 1
Hg1 0.0000 0.0000 0.6742 1
Hg2 0.5000 0.5000 0.6742 1
```

## Properties
Formation energy from the elements: 297.8 meV/atom
Magnetic moment: 0.0 μB/f.u.
Final energy: -5.6 eV/f.u.

=====

No. 4
BaZr2W | PBEsol | optimized geometry

Geometry as CIF:
```
data_BaZr2W
_cell_length_a 3.2253
_cell_length_b 5.9913
_cell_length_c 10.4507
_cell_angle_alpha 90.00
_cell_angle_beta 90.00
_cell_angle_gamma 90.00
_space_group_name_H-M_alt 'P 1'
_space_group_IT_number 1
loop_
_space_group_symop_operation_xyz
'x,y,z'
loop_
_atom_site_label
_atom_site_fract_x
_atom_site_fract_y
_atom_site_fract_z
_atom_site_occupancy
Ba1 0.0000 0.0000 0.0000 1
Ba2 0.5000 0.5000 0.5000 1
Zr1 0.0000 0.5000 0.2058 1
Zr2 0.0000 0.5000 0.7942 1
Zr3 0.5000 0.0000 0.2942 1
Zr4 0.5000 0.0000 0.7058 1
W1 0.0000 0.0000 0.5000 1
W2 0.5000 0.5000 0.0000 1
```

## Properties
Formation energy from the elements: 772.1 meV/atom
Magnetic moment: 0.0 μB/f.u.
Final energy: -31.0 eV/f.u.

=====

No. 5
Cs2HgSbI6 | PBEsol | optimized geometry

Geometry as CIF:
```
data_Cs2HgSbI6
_cell_length_a 8.5196
_cell_length_b 8.5196
_cell_length_c 8.5196
_cell_angle_alpha 60.00
_cell_angle_beta 60.00
_cell_angle_gamma 60.00
_space_group_name_H-M_alt 'P 1'
_space_group_IT_number 1
loop_
_space_group_symop_operation_xyz
'x,y,z'
loop_
_atom_site_label
_atom_site_fract_x
_atom_site_fract_y
_atom_site_fract_z
_atom_site_occupancy
Cs1 0.2500 0.2500 0.2500 1
Cs2 0.7500 0.7500 0.7500 1
Hg1 0.0000 0.0000 0.0000 1
Sb1 0.5000 0.5000 0.5000 1
I1 0.2523 0.2523 0.7477 1
I2 0.2523 0.7477 0.2523 1
I3 0.2523 0.7477 0.7477 1
I4 0.7477 0.2523 0.2523 1
I5 0.7477 0.2523 0.7477 1
I6 0.7477 0.7477 0.2523 1
```

## Properties
Magnetic moment: 0.0 μB/f.u.
Final energy: -25.6 eV/f.u.
Energy relative to the elements, uncorrected: -7.97 eV/f.u.

=====

No. 6
HoZn3 | PBEsol | optimized geometry

Geometry as CIF:
```
data_HoZn3
_cell_length_a 6.5513
_cell_length_b 4.2880
_cell_length_c 9.8386
_cell_angle_alpha 90.00
_cell_angle_beta 90.00
_cell_angle_gamma 90.00
_space_group_name_H-M_alt 'P 1'
_space_group_IT_number 1
loop_
_space_group_symop_operation_xyz
'x,y,z'
loop_
_atom_site_label
_atom_site_fract_x
_atom_site_fract_y
_atom_site_fract_z
_atom_site_occupancy
Ho1 0.2220 0.2500 0.1618 1
Ho2 0.2780 0.7500 0.6618 1
Ho3 0.7220 0.2500 0.3382 1
Ho4 0.7780 0.7500 0.8382 1
Zn1 0.0373 0.7500 0.3958 1
Zn2 0.0802 0.2500 0.8532 1
Zn3 0.2185 0.7500 0.9563 1
Zn4 0.2815 0.2500 0.4563 1
Zn5 0.4198 0.7500 0.3532 1
Zn6 0.4627 0.2500 0.8958 1
Zn7 0.5373 0.7500 0.1042 1
Zn8 0.5802 0.2500 0.6468 1
Zn9 0.7185 0.7500 0.5437 1
Zn10 0.7815 0.2500 0.0437 1
Zn11 0.9198 0.7500 0.1468 1
Zn12 0.9627 0.2500 0.6042 1
```

## Properties
Formation energy from the elements: -372.9 meV/atom
Magnetic moment: 0.0 μB/f.u.
Final energy: -11.2 eV/f.u.